This record from Alexandria via LeMat-Bulk describes a geometry-optimized Li2LaPdO4 structure. The functional is PBE-GGA.

Properties
* total magnetization: 2.70 μB per cell
* space-group type: I-42m (121)
* uncorrected formation energy: -1.6865 eV per atom

Cell lengths 5.1147, 5.1147, 5.1147 Å; angles 115.28, 115.28, 98.39 degrees
Closest atoms and distances in Å follow each position.
Element x y z (fractional)
Li1 0.2500 0.7500 0.5000  4 O 2.02
Li2 0.7500 0.2500 0.5000  4 O 2.02
La1 0.0000 0.0000 0.0000  4 O 2.40
Pd1 0.5000 0.5000 0.0000  4 O 2.09
O1 0.1038 0.1038 0.5463  2 Li 2.02, 1 Pd 2.09
O2 0.4425 0.8962 0.0000  2 Li 2.02, 1 Pd 2.09
O3 0.5575 0.5575 0.4537  2 Li 2.02, 1 Pd 2.09
O4 0.8962 0.4425 0.0000  2 Li 2.02, 1 Pd 2.09